Material: KMgSb3
Method: DFT, GGA-PBEsol
State: optimized geometry

Cell: 5.443 5.443 5.443 Å, 90.00 90.00 90.00°
Space group Pm-3m (No. 221)
Unique sites:
K  0.000  0.000  0.000
Mg  0.500  0.500  0.500
Sb  0.000  0.500  0.500

Computed properties:
The magnetic moment comes out at 0.000 μB per atom. For the formation energy without anion corrections, the calculation gives 0.1440 eV per atom.